{
  "formula": "CrCd2GaO6",
  "functional": "GGA+U",
  "state": "optimized geometry",
  "cell": [[4.870, 0.000, 0.000], [0.000, 5.139, 0.000], [0.000, 0.000, 5.139]],
  "species": ["Cr", "Cd", "Cd", "Ga", "O", "O", "O", "O", "O", "O"],
  "frac_coords": [[0.584, 0.500, 0.500], [0.008, 0.500, 0.000], [0.008, 0.000, 0.500], [0.572, 0.000, 0.000], [0.710, 0.257, 0.257], [0.710, 0.257, 0.743], [0.243, 0.500, 0.500], [0.194, 0.000, 0.000], [0.710, 0.743, 0.743], [0.710, 0.743, 0.257]],
  "dft_energy_ev_per_atom": -5.37,
  "dos_at_fermi_per_ev_fu": 0.7,
  "magnetic_moment_mub_per_fu": 1.01,
  "vol_a3_per_cell": 128.6
}